[1]
## Cs3Cd3Pb (PBE-GGA)

Data for an optimized crystal structure of Cs3Cd3Pb.

formation energy	-0.08	eV/atom
calculated density	4.6	g/cm³

Cell lengths 14.6599, 5.3061, 18.7418 Å; angles 90.00, 109.97, 90.00 degrees
Space group C2/m (No. 12)
Symmetry-distinct sites (fractional):
Cs 0.0163 0.0000 0.3877 x4
Cs 0.1148 0.0000 0.9219 x4
Cs 0.2441 0.5000 0.7695 x4
Cd 0.0553 0.5000 0.2302 x4
Cd 0.0810 0.5000 0.0771 x4
Cd 0.2027 0.5000 0.5332 x4
Pb 0.2357 0.5000 0.3800 x4

[2]
## BaCoI4 (PBE-GGA)

Data for an optimized crystal structure of BaCoI4.

formation energy from raw total energies	-5.21	eV per formula unit
calculated density	4.1	g/cm³

Cell lengths 11.1108, 11.1108, 9.1806 Å; angles 90.00, 90.00, 90.00 degrees
Space group I4_1/amd (No. 141, origin choice 2)
Symmetry-distinct sites (fractional):
Ba 0.0000 0.2500 0.3750 x4
Co 0.0000 0.2500 0.8750 x4
I 0.0000 0.0697 0.6979 x16

[3]
## AcAs6Pd12 (PBE-GGA)

Data for an optimized crystal structure of AcAs6Pd12.

formation energy	-0.42	eV/atom
calculated density	9.5	g/cm³

Cell lengths 11.4604, 11.4604, 9.0171 Å; angles 90.00, 90.00, 120.00 degrees
Space group R-3m (No. 166, hexagonal axes)
Symmetry-distinct sites (fractional):
Ac 0.0000 0.0000 0.0000 x3
As 0.0445 0.5223 0.2776 x18
Pd 0.0000 0.3751 0.5000 x18
Pd 0.0872 0.1743 0.3414 x18

[4]
## HfBe2Ru2 (PBE-GGA)

Data for an optimized crystal structure of HfBe2Ru2.

formation energy	-0.20	eV/atom
calculated density	10.0	g/cm³

Cell lengths 6.7548, 6.7548, 2.9106 Å; angles 90.00, 90.00, 90.00 degrees
Space group P4/mbm (No. 127)
Symmetry-distinct sites (fractional):
Hf 0.0000 0.0000 0.0000 x2
Be 0.1395 0.3605 0.5000 x4
Ru 0.1471 0.6471 0.0000 x4

[5]
## Mg2TcBr (PBE-GGA)

Data for an optimized crystal structure of Mg2TcBr.

formation energy from raw total energies	0.03	eV per formula unit
calculated density	4.7	g/cm³

Cell lengths 3.2118, 3.2118, 7.7592 Å; angles 90.00, 90.00, 90.00 degrees
Space group P4/mmm (No. 123)
Symmetry-distinct sites (fractional):
Mg 0.0000 0.0000 0.2216 x2
Tc 0.5000 0.5000 0.0000 x1
Br 0.5000 0.5000 0.5000 x1

[6]
## TmU3C4 (PBE-GGA)

Data for an optimized crystal structure of TmU3C4.

formation energy	-0.19	eV/atom
calculated density	12.7	g/cm³

Cell lengths 6.9480, 9.9719, 3.5186 Å; angles 90.00, 90.00, 90.00 degrees
Space group Cmmm (No. 65)
Symmetry-distinct sites (fractional):
Tm 0.0000 0.0000 0.0000 x2
U 0.0000 0.5000 0.0000 x2
U 0.2500 0.2500 0.5000 x4
C 0.0000 0.2551 0.0000 x4
C 0.2329 0.5000 0.5000 x4

[7]
## BaTeSe (PBE-GGA)

Data for an optimized crystal structure of BaTeSe.

formation energy from raw total energies	-3.72	eV per formula unit
calculated density	5.2	g/cm³

Cell lengths 6.6004, 6.3461, 5.5699 Å; angles 90.00, 109.94, 90.00 degrees
Space group Cm (No. 8)
Symmetry-distinct sites (fractional):
Ba 0.0000 0.0000 0.0000 x2
Te 0.4389 0.0000 0.6244 x2
Se 0.0452 0.5000 0.2010 x2

[8]
## La3Pm3GaHg2 (PBE-GGA)

Data for an optimized crystal structure of La3Pm3GaHg2.

formation energy	-0.31	eV/atom
calculated density	8.0	g/cm³

Cell lengths 8.7527, 8.7527, 4.1455 Å; angles 90.00, 90.00, 120.00 degrees
Space group P-62m (No. 189)
Symmetry-distinct sites (fractional):
La 0.0000 0.7405 0.0000 x3
Pm 0.0000 0.4003 0.5000 x3
Ga 0.0000 0.0000 0.5000 x1
Hg 0.3333 0.6667 0.0000 x2